! PBE Ba10SrCa6, optimized geometry; values from VASP
! DFT formation energy (eV per atom): 0.07
! Space-group type: No. 162
&SYSTEM
  ibrav = 0, nat = 17, ntyp = 3
/
ATOMIC_SPECIES
Ba 137.33 Ba.upf
Sr 87.62 Sr.upf
Ca 40.08 Ca.upf
CELL_PARAMETERS angstrom
-7.714 2.976 -0.234
-3.701 -9.955 -4.596
0.175 1.356 11.491
ATOMIC_POSITIONS crystal
Ba 0.835 0.691 0.691
Ba 0.835 0.000 0.309
Ba 0.835 0.309 0.000
Ba 0.165 0.309 0.309
Ba 0.165 0.000 0.691
Ba 0.165 0.691 0.000
Ba 0.500 0.333 0.667
Ba 0.500 0.667 0.333
Ba 0.000 0.667 0.333
Ba 0.000 0.333 0.667
Sr 0.500 0.000 0.000
Ca 0.654 0.351 0.351
Ca 0.654 0.000 0.649
Ca 0.654 0.649 0.000
Ca 0.346 0.649 0.649
Ca 0.346 0.000 0.351
Ca 0.346 0.351 0.000

---

! PBE PmCdCu, optimized geometry; values from VASP
! Energy relative to the lowest polymorph listed for this composition (eV/f.u.): 0.420
! DFT formation energy (eV per atom): -0.14
! Space-group type: No. 216
&SYSTEM
  ibrav = 0, nat = 3, ntyp = 3
/
ATOMIC_SPECIES
Cd 112.41 Cd.upf
Cu 63.55 Cu.upf
Pm 145.00 Pm.upf
CELL_PARAMETERS angstrom
-3.798 1.971 1.975
-0.629 -0.251 4.664
0.463 3.868 2.651
ATOMIC_POSITIONS crystal
Cd 0.500 0.500 0.500
Cu 0.250 0.250 0.250
Pm 0.000 0.000 0.000

---

! PBE HfSbTe2Rh, optimized geometry; values from VASP
! Energy relative to the lowest polymorph listed for this composition (eV/f.u.): 0.000
! Space-group type: No. 123
&SYSTEM
  ibrav = 0, nat = 5, ntyp = 4
/
ATOMIC_SPECIES
Sb 121.76 Sb.upf
Te 127.60 Te.upf
Hf 178.49 Hf.upf
Rh 102.91 Rh.upf
CELL_PARAMETERS angstrom
5.212 0.000 0.000
0.000 5.212 0.000
0.000 0.000 4.992
ATOMIC_POSITIONS crystal
Sb 0.000 0.000 0.500
Te 0.000 0.500 0.000
Te 0.500 0.000 0.000
Hf 0.500 0.500 0.500
Rh 0.000 0.000 0.000

---

! PBE Cd2As2P, optimized geometry; values from VASP
! Energy relative to the lowest polymorph listed for this composition (eV/f.u.): 1.192
! DFT formation energy (eV per atom): 0.40
! Space-group type: No. 127
&SYSTEM
  ibrav = 0, nat = 10, ntyp = 3
/
ATOMIC_SPECIES
P 30.97 P.upf
As 74.92 As.upf
Cd 112.41 Cd.upf
CELL_PARAMETERS angstrom
-7.146 -1.268 -0.132
0.628 -4.155 5.919
-0.675 3.537 2.554
ATOMIC_POSITIONS crystal
P 0.000 0.000 0.000
P 0.500 0.500 0.000
As 0.116 0.616 0.500
As 0.616 0.884 0.500
As 0.884 0.384 0.500
As 0.384 0.116 0.500
Cd 0.321 0.821 0.000
Cd 0.821 0.679 0.000
Cd 0.679 0.179 0.000
Cd 0.179 0.321 0.000

---

! PBE ZrAlOs, optimized geometry; values from VASP
! DFT formation energy (eV per atom): -0.19
! Space-group type: No. 216
&SYSTEM
  ibrav = 0, nat = 3, ntyp = 3
/
ATOMIC_SPECIES
Os 190.23 Os.upf
Al 26.98 Al.upf
Zr 91.22 Zr.upf
CELL_PARAMETERS angstrom
-1.565 4.101 -0.229
-3.697 0.820 -2.231
-3.677 1.073 2.157
ATOMIC_POSITIONS crystal
Os 0.750 0.750 0.750
Al 0.500 0.500 0.500
Zr 0.000 0.000 0.000

---

! PBE Nd6Co2IrCl3, optimized geometry; values from VASP
! E (eV/cell): -68.561
! Space-group type: No. 12
&SYSTEM
  ibrav = 0, nat = 12, ntyp = 4
/
ATOMIC_SPECIES
Nd 144.24 Nd.upf
Co 58.93 Co.upf
Ir 192.22 Ir.upf
Cl 35.45 Cl.upf
CELL_PARAMETERS angstrom
6.961 -0.003 0.002
-3.482 6.028 0.002
-1.158 -2.005 7.550
ATOMIC_POSITIONS crystal
Nd 0.933 0.590 0.798
Nd 0.724 0.724 0.202
Nd 0.067 0.410 0.202
Nd 0.590 0.933 0.798
Nd 0.276 0.276 0.798
Nd 0.410 0.067 0.202
Co 0.334 0.666 0.000
Co 0.666 0.334 0.000
Ir 0.000 0.000 0.000
Cl 0.169 0.831 0.500
Cl 0.831 0.169 0.500
Cl 0.500 0.500 0.500

---

! PBE VPt2Rh, optimized geometry; values from VASP
! DFT formation energy (eV per atom): 0.01
! Space-group type: No. 122
&SYSTEM
  ibrav = 0, nat = 8, ntyp = 3
/
ATOMIC_SPECIES
Rh 102.91 Rh.upf
Pt 195.08 Pt.upf
V 50.94 V.upf
CELL_PARAMETERS angstrom
-6.048 -2.815 2.234
0.768 -5.285 -4.579
-1.339 -5.418 0.625
ATOMIC_POSITIONS crystal
Rh 0.000 0.000 0.000
Rh 0.750 0.250 0.500
Pt 0.592 0.125 0.250
Pt 0.158 0.625 0.250
Pt 0.375 0.408 0.750
Pt 0.875 0.842 0.750
V 0.500 0.500 0.000
V 0.250 0.750 0.500

---

! PBE ZrCd2Te, optimized geometry; values from VASP
! E (eV/cell): -14.751
! Space-group type: No. 99
&SYSTEM
  ibrav = 0, nat = 4, ntyp = 3
/
ATOMIC_SPECIES
Cd 112.41 Cd.upf
Te 127.60 Te.upf
Zr 91.22 Zr.upf
CELL_PARAMETERS angstrom
3.752 0.312 0.000
-0.313 3.752 0.000
0.000 0.000 6.573
ATOMIC_POSITIONS crystal
Cd 0.000 0.000 0.007
Cd 0.500 0.500 0.229
Te 0.000 0.000 0.528
Zr 0.500 0.500 0.735

---

! PBE InGeCl3, optimized geometry; values from VASP
! E (eV/cell): -67.572
! Space-group type: No. 62
&SYSTEM
  ibrav = 0, nat = 20, ntyp = 3
/
ATOMIC_SPECIES
Ge 72.64 Ge.upf
Cl 35.45 Cl.upf
In 114.82 In.upf
CELL_PARAMETERS angstrom
8.602 0.000 0.000
0.000 10.906 0.000
0.000 0.000 7.363
ATOMIC_POSITIONS crystal
Ge 0.495 0.250 0.484
Ge 0.005 0.750 0.984
Ge 0.505 0.750 0.516
Ge 0.995 0.250 0.016
Cl 0.166 0.909 0.869
Cl 0.334 0.409 0.369
Cl 0.334 0.091 0.369
Cl 0.834 0.409 0.131
Cl 0.834 0.091 0.131
Cl 0.666 0.591 0.631
Cl 0.666 0.909 0.631
Cl 0.166 0.591 0.869
Cl 0.390 0.250 0.781
Cl 0.110 0.750 0.281
Cl 0.610 0.750 0.219
Cl 0.890 0.250 0.719
In 0.000 0.000 0.500
In 0.500 0.500 0.000
In 0.500 0.000 0.000
In 0.000 0.500 0.500

---

! PBE Rh3Pb2Se2, optimized geometry; values from VASP
! E (eV/cell): -38.692
! Space-group type: No. 166
&SYSTEM
  ibrav = 0, nat = 7, ntyp = 3
/
ATOMIC_SPECIES
Pb 207.20 Pb.upf
Rh 102.91 Rh.upf
Se 78.96 Se.upf
CELL_PARAMETERS angstrom
-2.008 5.367 -1.016
-5.096 1.676 2.257
-0.061 3.969 4.419
ATOMIC_POSITIONS crystal
Pb 0.500 0.500 0.500
Pb 0.000 0.000 0.000
Rh 0.000 0.500 0.000
Rh 0.500 0.500 0.000
Rh 0.500 0.000 0.000
Se 0.788 0.788 0.637
Se 0.212 0.212 0.363

---

! PBE TaCo2HPd, optimized geometry; values from VASP
! Energy relative to the lowest polymorph listed for this composition (eV/f.u.): 0.136
! Space-group type: No. 123
&SYSTEM
  ibrav = 0, nat = 5, ntyp = 4
/
ATOMIC_SPECIES
H 1.01 H.upf
Co 58.93 Co.upf
Pd 106.42 Pd.upf
Ta 180.95 Ta.upf
CELL_PARAMETERS angstrom
3.777 0.000 0.000
0.000 3.777 0.000
0.000 0.000 3.886
ATOMIC_POSITIONS crystal
H 0.000 0.000 0.000
Co 0.000 0.500 0.000
Co 0.500 0.000 0.000
Pd 0.500 0.500 0.500
Ta 0.000 0.000 0.500

---

! PBE KTiBi2Pb, optimized geometry; values from VASP
! DFT formation energy (eV per atom): -0.09
! Space-group type: No. 123
&SYSTEM
  ibrav = 0, nat = 5, ntyp = 4
/
ATOMIC_SPECIES
Pb 207.20 Pb.upf
K 39.10 K.upf
Bi 208.98 Bi.upf
Ti 47.87 Ti.upf
CELL_PARAMETERS angstrom
5.515 0.000 0.000
0.000 5.515 0.000
0.000 0.000 5.544
ATOMIC_POSITIONS crystal
Pb 0.000 0.000 0.500
K 0.500 0.500 0.500
Bi 0.000 0.500 0.000
Bi 0.500 0.000 0.000
Ti 0.000 0.000 0.000

---

! PBE CuRh2Br, optimized geometry; values from VASP
! Energy relative to the lowest polymorph listed for this composition (eV/f.u.): 0.791
! Space-group type: No. 10
&SYSTEM
  ibrav = 0, nat = 4, ntyp = 3
/
ATOMIC_SPECIES
Br 79.90 Br.upf
Cu 63.55 Cu.upf
Rh 102.91 Rh.upf
CELL_PARAMETERS angstrom
4.448 0.000 0.000
0.000 3.016 -0.006
0.000 -0.074 4.694
ATOMIC_POSITIONS crystal
Br 0.500 0.250 0.250
Cu 0.500 0.750 0.750
Rh 0.000 0.013 0.990
Rh 0.000 0.487 0.510

---

! PBE SmGeRu, optimized geometry; values from VASP
! DFT formation energy (eV per atom): -0.34
! Space-group type: No. 160
&SYSTEM
  ibrav = 0, nat = 3, ntyp = 3
/
ATOMIC_SPECIES
Ge 72.64 Ge.upf
Ru 101.07 Ru.upf
Sm 150.36 Sm.upf
CELL_PARAMETERS angstrom
3.931 0.000 0.000
1.965 3.404 0.000
1.965 1.135 5.020
ATOMIC_POSITIONS crystal
Ge 0.383 0.383 0.850
Ru 0.105 0.105 0.684
Sm 0.585 0.585 0.246

---

! PBE NdTm4In, optimized geometry; values from VASP
! Energy relative to the lowest polymorph listed for this composition (eV/f.u.): 0.000
! DFT formation energy (eV per atom): -0.14
! Space-group type: No. 123
&SYSTEM
  ibrav = 0, nat = 6, ntyp = 3
/
ATOMIC_SPECIES
Nd 144.24 Nd.upf
Tm 168.93 Tm.upf
In 114.82 In.upf
CELL_PARAMETERS angstrom
3.554 0.000 0.000
0.000 3.554 0.000
0.000 0.000 14.106
ATOMIC_POSITIONS crystal
Nd 0.000 0.000 0.000
Tm 0.500 0.500 0.181
Tm 0.000 0.000 0.647
Tm 0.000 0.000 0.353
Tm 0.500 0.500 0.819
In 0.500 0.500 0.500

---

! PBE Rb2BeSe2, optimized geometry; values from VASP
! Energy relative to the lowest polymorph listed for this composition (eV/f.u.): 0.483
! Space-group type: No. 139
&SYSTEM
  ibrav = 0, nat = 5, ntyp = 3
/
ATOMIC_SPECIES
Be 9.01 Be.upf
Se 78.96 Se.upf
Rb 85.47 Rb.upf
CELL_PARAMETERS angstrom
6.678 0.000 0.000
0.000 6.678 0.000
3.339 3.339 5.910
ATOMIC_POSITIONS crystal
Be 0.000 0.000 0.000
Se 0.170 0.170 0.661
Se 0.830 0.830 0.339
Rb 0.750 0.250 0.500
Rb 0.250 0.750 0.500

---

! PBE ScHgP2S, optimized geometry; values from VASP
! Energy relative to the lowest polymorph listed for this composition (eV/f.u.): 2.432
! Space-group type: No. 123
&SYSTEM
  ibrav = 0, nat = 5, ntyp = 4
/
ATOMIC_SPECIES
Sc 44.96 Sc.upf
P 30.97 P.upf
S 32.06 S.upf
Hg 200.59 Hg.upf
CELL_PARAMETERS angstrom
4.894 0.000 0.000
0.000 4.894 0.000
0.000 0.000 4.982
ATOMIC_POSITIONS crystal
Sc 0.500 0.500 0.500
P 0.000 0.500 0.000
P 0.500 0.000 0.000
S 0.000 0.000 0.500
Hg 0.000 0.000 0.000